Entry from Alexandria via LeMat-Bulk: KBaZrB2 at its PBEsol-relaxed geometry (SCAN).

Properties
total magnetic moment = 0.3901 μB per atom
energy of formation from the pure elements = 2.350 eV per atom

Cell: 5.175 5.175 5.455 Å, 90.00 90.00 90.00°
Sites, in units of the cell vectors:
B (0.500, 0.000, 0.000)
Zr (0.000, 0.000, 0.500)
B (0.000, 0.500, 0.000)
K (0.500, 0.500, 0.500)
Ba (0.000, 0.000, 0.000)

Entry from Alexandria via LeMat-Bulk: Ba3La2B4O12 at its PBEsol-relaxed geometry (SCAN).

Properties
total magnetic moment = 0.0000 μB per atom
E_form (uncorrected) = -3.181 eV/atom

Cell: 7.742 8.984 16.712 Å, 90.00 90.00 90.00°
Sites, in units of the cell vectors:
Ba (0.172, 0.966, 0.750)
O (0.673, 0.982, 0.990)
O (0.471, 0.044, 0.677)
O (0.342, 0.499, 0.750)
O (0.743, 0.790, 0.677)
O (0.096, 0.252, 0.750)
O (0.471, 0.044, 0.823)
O (0.608, 0.312, 0.534)
O (0.243, 0.710, 0.823)
La (0.532, 0.170, 0.085)
O (0.243, 0.710, 0.677)
O (0.842, 0.001, 0.750)
O (0.971, 0.456, 0.677)
O (0.673, 0.982, 0.510)
Ba (0.675, 0.660, 0.125)
O (0.892, 0.812, 0.034)
Ba (0.825, 0.160, 0.875)
Ba (0.828, 0.034, 0.250)
O (0.392, 0.688, 0.466)
O (0.827, 0.482, 0.010)
B (0.320, 0.546, 0.464)
B (0.680, 0.454, 0.964)
O (0.904, 0.748, 0.250)
Ba (0.675, 0.660, 0.375)
O (0.757, 0.290, 0.323)
La (0.532, 0.170, 0.415)
O (0.121, 0.934, 0.915)
B (0.680, 0.454, 0.536)
O (0.621, 0.566, 0.915)
O (0.658, 0.501, 0.250)
O (0.743, 0.790, 0.823)
B (0.019, 0.391, 0.750)
O (0.879, 0.066, 0.415)
Ba (0.825, 0.160, 0.625)
Ba (0.175, 0.840, 0.125)
O (0.158, 0.999, 0.250)
O (0.029, 0.544, 0.323)
O (0.608, 0.312, 0.966)
B (0.320, 0.546, 0.036)
B (0.229, 0.138, 0.250)
B (0.180, 0.046, 0.536)
La (0.032, 0.330, 0.415)
Ba (0.175, 0.840, 0.375)
O (0.596, 0.248, 0.750)
B (0.271, 0.638, 0.750)
O (0.173, 0.518, 0.510)
Ba (0.325, 0.340, 0.875)
La (0.968, 0.670, 0.585)
O (0.108, 0.188, 0.966)
B (0.180, 0.046, 0.964)
O (0.621, 0.566, 0.585)
O (0.892, 0.812, 0.466)
B (0.820, 0.954, 0.036)
O (0.529, 0.956, 0.177)
Ba (0.328, 0.466, 0.250)
O (0.757, 0.290, 0.177)
O (0.327, 0.018, 0.010)
O (0.173, 0.518, 0.990)
B (0.820, 0.954, 0.464)
O (0.827, 0.482, 0.490)
La (0.032, 0.330, 0.085)
O (0.971, 0.456, 0.823)
O (0.327, 0.018, 0.490)
La (0.468, 0.830, 0.915)
O (0.029, 0.544, 0.177)
B (0.771, 0.862, 0.750)
Ba (0.672, 0.534, 0.750)
O (0.108, 0.188, 0.534)
B (0.729, 0.362, 0.250)
O (0.121, 0.934, 0.585)
O (0.529, 0.956, 0.323)
B (0.519, 0.109, 0.750)
La (0.468, 0.830, 0.585)
O (0.257, 0.210, 0.177)
O (0.879, 0.066, 0.085)
O (0.404, 0.752, 0.250)
O (0.257, 0.210, 0.323)
B (0.481, 0.891, 0.250)
B (0.981, 0.609, 0.250)
O (0.392, 0.688, 0.034)
O (0.379, 0.434, 0.085)
O (0.379, 0.434, 0.415)
Ba (0.325, 0.340, 0.625)
La (0.968, 0.670, 0.915)

Entry from Alexandria via LeMat-Bulk: Ba2SrLaB at its PBEsol-relaxed geometry (SCAN).

Properties
total magnetic moment = 0.0591 μB per atom
energy of formation from the pure elements = 0.546 eV per atom

Cell: 5.785 5.880 5.880 Å, 90.00 90.00 90.00°
Sites, in units of the cell vectors:
Ba (0.000, 0.500, 0.000)
Sr (0.500, 0.000, 0.000)
Ba (0.000, 0.000, 0.500)
B (0.000, 0.000, 0.000)
La (0.500, 0.500, 0.500)

Entry from Alexandria via LeMat-Bulk: BaLaTa2B at its PBEsol-relaxed geometry (SCAN).

Properties
total magnetic moment = 0.0000 μB per atom
energy of formation from the pure elements = 2.577 eV per atom

Cell: 4.844 5.183 5.183 Å, 90.00 90.00 90.00°
Sites, in units of the cell vectors:
Ta (0.000, 0.000, 0.500)
B (0.500, 0.000, 0.000)
Ta (0.000, 0.500, 0.000)
La (0.500, 0.500, 0.500)
Ba (0.000, 0.000, 0.000)

Entry from Alexandria via LeMat-Bulk: Ba2MgB6O12 at its PBEsol-relaxed geometry (SCAN).

Properties
total magnetic moment = 0.0000 μB per atom
E_form (uncorrected) = -2.891 eV/atom

Cell: 6.865 6.865 6.865 Å, 62.05 62.05 62.05°
Sites, in units of the cell vectors:
O (0.196, 0.465, 0.575)
O (0.575, 0.196, 0.465)
O (0.535, 0.425, 0.804)
O (0.465, 0.575, 0.196)
B (0.363, 0.644, 0.757)
B (0.637, 0.356, 0.243)
O (0.844, 0.314, 0.082)
O (0.804, 0.535, 0.425)
O (0.314, 0.082, 0.844)
B (0.644, 0.757, 0.363)
B (0.356, 0.243, 0.637)
Ba (0.789, 0.789, 0.789)
B (0.757, 0.363, 0.644)
O (0.686, 0.918, 0.156)
Mg (0.000, 0.000, 0.000)
O (0.425, 0.804, 0.535)
O (0.082, 0.844, 0.314)
O (0.156, 0.686, 0.918)
O (0.918, 0.156, 0.686)
B (0.243, 0.637, 0.356)
Ba (0.211, 0.211, 0.211)

Entry from Alexandria via LeMat-Bulk: BaMgBRu2 at its PBEsol-relaxed geometry (SCAN).

Properties
total magnetic moment = 0.0744 μB per atom
energy of formation from the pure elements = 0.385 eV per atom

Cell: 4.338 4.338 4.495 Å, 90.00 90.00 90.00°
Sites, in units of the cell vectors:
Ba (0.500, 0.500, 0.500)
Ru (0.500, 0.000, 0.000)
Mg (0.000, 0.000, 0.500)
B (0.000, 0.000, 0.000)
Ru (0.000, 0.500, 0.000)

Entry from Alexandria via LeMat-Bulk: BaB3Mo at its PBEsol-relaxed geometry (SCAN).

Properties
total magnetic moment = 0.5599 μB per atom
energy of formation from the pure elements = 3.407 eV per atom

Cell: 4.461 4.461 4.461 Å, 90.00 90.00 90.00°
Sites, in units of the cell vectors:
B (0.000, 0.500, 0.000)
Ba (0.000, 0.000, 0.000)
Mo (0.500, 0.500, 0.500)
B (0.000, 0.000, 0.500)
B (0.500, 0.000, 0.000)

Entry from Alexandria via LeMat-Bulk: BaBMo3 at its PBEsol-relaxed geometry (SCAN).

Properties
total magnetic moment = 0.9367 μB per atom
energy of formation from the pure elements = 4.158 eV per atom

Cell: 4.898 4.898 4.898 Å, 90.00 90.00 90.00°
Sites, in units of the cell vectors:
B (0.500, 0.500, 0.500)
Mo (0.000, 0.000, 0.500)
Mo (0.000, 0.500, 0.000)
Ba (0.000, 0.000, 0.000)
Mo (0.500, 0.000, 0.000)

What did the fourth record say?
Entry from Alexandria via LeMat-Bulk: BaLaTa2B at its PBEsol-relaxed geometry (SCAN).

Properties
total magnetic moment = 0.0000 μB per atom
energy of formation from the pure elements = 2.577 eV per atom

Cell: 4.844 5.183 5.183 Å, 90.00 90.00 90.00°
Sites, in units of the cell vectors:
Ta (0.000, 0.000, 0.500)
B (0.500, 0.000, 0.000)
Ta (0.000, 0.500, 0.000)
La (0.500, 0.500, 0.500)
Ba (0.000, 0.000, 0.000)

Q: Which of these has the highest total magnetic moment?
A: BaBMo3

Q: Which of these has the highest total magnetic moment?
A: BaBMo3